Record 1
! PBE-GGA LaYIO2, relaxed; values from VASP
&SYSTEM
  ibrav = 0, nat = 5, ntyp = 4
/
ATOMIC_SPECIES
La 138.91 La.upf
Y 88.91 Y.upf
I 126.90 I.upf
O 16.00 O.upf
CELL_PARAMETERS angstrom
4.5763 0.0000 0.0000
0.0000 4.5763 0.0000
0.0000 0.0000 6.2137
ATOMIC_POSITIONS crystal
La 0.0000 0.0000 0.0000
Y 0.5000 0.5000 0.5000
I 0.0000 0.0000 0.5000
O 0.0000 0.5000 0.0000
O 0.5000 0.0000 0.0000
! ΔE_f (raw) = -1.4850 eV per atom
! excess energy over the best structure of this formula in the dataset = 32.1 kJ per mole of atoms
! M_tot = 0.002 μB per formula unit

=====

Record 2
! PBE-GGA AgSI, relaxed; values from VASP
&SYSTEM
  ibrav = 0, nat = 6, ntyp = 3
/
ATOMIC_SPECIES
Ag 107.87 Ag.upf
S 32.06 S.upf
I 126.90 I.upf
CELL_PARAMETERS angstrom
11.4300 0.0000 0.0000
0.0000 1.9510 3.7557
0.0000 -1.9510 3.7557
ATOMIC_POSITIONS crystal
Ag 0.1939 0.0000 0.0000
Ag 0.8061 0.0000 0.0000
S 0.2741 0.6757 0.6757
S 0.7259 0.6757 0.6757
I 0.0000 0.4402 0.4402
I 0.5000 0.6695 0.6695
! ΔE_f (raw) = 0.0823 eV per atom
! excess energy over the best structure of this formula in the dataset = 9.8 kJ per mole of atoms
! M_tot = 0.000 μB per formula unit